Compound: LaScPa
Source: Alexandria via LeMat-Bulk
Functional: PBE
Structure: optimized geometry

a b c (Å): 5.432 5.432 3.215
angles (deg): 90.00 90.00 120.00
Sites, in units of the cell vectors:
La (0.000, 0.000, 0.000)
Sc (0.667, 0.333, 0.500)
Pa (0.333, 0.667, 0.000)

Properties
SG   P-6m2 (187)
Formation enthalpy at 0 K   0.2425 eV/atom
Energy   -6.676 eV/atom
E above lowest polymorph   92 meV/atom